[1]
Compound: Rb2MgAlI6
Source: the Alexandria database
Functional: GGA-PBE
Structure: optimized geometry

Unit cell a=8.2940 b=8.2940 c=11.7554 alpha=90.00 beta=90.00 gamma=90.00
Closest atoms and distances in Å follow each position.
Space group I4/mmm (No. 139)
Inequivalent atoms, fractional coordinates:
Rb (0.0000, 0.5000, 0.2500) [4 per cell]  12 I 4.15
Mg (0.0000, 0.0000, 0.0000) [2 per cell]  6 I 2.96
Al (0.0000, 0.0000, 0.5000) [2 per cell]  6 I 2.91
I (0.0000, 0.0000, 0.2521) [4 per cell]  1 Al 2.91, 1 Mg 2.96
I (0.2477, 0.2477, 0.5000) [8 per cell]  1 Al 2.91, 1 Mg 2.96

final energy: -26.260 eV/f.u.
total magnetic moment: 0.000 μB per atom
volume: 40.433 Å³/atom


[2]
Compound: NdMgAgGe2
Source: the Alexandria database
Functional: GGA-PBE
Structure: optimized geometry

Unit cell a=4.2568 b=4.2568 c=11.7339 alpha=90.00 beta=90.00 gamma=90.00
Closest atoms and distances in Å follow each position.
Space group I-4m2 (No. 119)
Inequivalent atoms, fractional coordinates:
Nd (0.0000, 0.0000, 0.0000) [2 per cell]  8 Ge 3.26, 4 Mg 3.62, 4 Ag 3.62
Mg (0.0000, 0.5000, 0.2500) [2 per cell]  4 Ge 2.71, 4 Ag 3.01
Ag (0.0000, 0.5000, 0.7500) [2 per cell]  4 Ge 2.71, 4 Mg 3.01
Ge (0.0000, 0.0000, 0.3935) [4 per cell]  1 Ge 2.50, 2 Mg 2.71, 2 Ag 2.71

final energy: -20.844 eV/f.u.
total magnetic moment: 0.000 μB per atom
formation energy: -0.479 eV per atom
volume: 21.262 Å³/atom


[3]
Compound: MgFe2Cl
Source: the Alexandria database
Functional: GGA-PBE
Structure: optimized geometry

Unit cell a=3.0967 b=3.0966 c=7.5726 alpha=90.00 beta=101.73 gamma=90.00
Closest atoms and distances in Å follow each position.
Space group Pm (No. 6)
Inequivalent atoms, fractional coordinates:
Mg (0.0000, 0.0000, 0.0000) [1 per cell]  4 Cl 2.62-2.63, 5 Fe 2.82-2.84
Fe (0.1891, 0.0000, 0.3808) [1 per cell]  4 Fe 2.41
Fe (0.6215, 0.5000, 0.2447) [1 per cell]  4 Fe 2.41
Cl (0.4011, 0.5000, 0.8048) [1 per cell]  4 Mg 2.62-2.63

ΔE to the lowest computed polymorph: 0 meV/atom
final energy: -20.665 eV/f.u.
total magnetic moment: 1.310 μB per atom
volume: 17.775 Å³/atom


[4]
Compound: NdScSe
Source: the Alexandria database
Functional: GGA-PBE
Structure: optimized geometry

Unit cell a=4.6657 b=4.6657 c=4.1530 alpha=90.00 beta=90.00 gamma=120.00
Closest atoms and distances in Å follow each position.
Space group P3m1 (No. 156)
Inequivalent atoms, fractional coordinates:
Nd (0.0000, 0.0000, 0.0000) [1 per cell]  3 Se 3.14, 6 Sc 3.34-3.46
Sc (0.3333, 0.6667, 0.5245) [1 per cell]  3 Se 2.72
Se (0.6667, 0.3333, 0.6129) [1 per cell]  3 Sc 2.72

ΔE to the lowest computed polymorph: 379 meV/atom
final energy: -16.708 eV/f.u.
total magnetic moment: 0.005 μB per atom
volume: 26.098 Å³/atom